1.
This record from the Alexandria database describes a geometry-optimized Pa2GaC structure. The functional is PBE.

Values from the calculation:
- Crystal system: orthorhombic
- Total magnetization: 0.000 Bohr magnetons per cell
- VASP energy: -7.803 eV/atom
- Calculated formation energy: 0.2 kcal/mol of atoms

Lattice parameters (Å, degrees): 5.8699 3.4579 16.4624 90.00 90.00 90.00
Closest atoms and distances in Å follow each position.
Space group Pnma (No. 62)
Asymmetric unit:
Pa  0.0783  0.2500  0.1252 x4  1 C 2.21
Pa  0.1485  0.7500  0.4175 x4  3 C 2.27-2.37
Ga  0.1534  0.2500  0.7426 x4  2 Ga 2.94, 6 Pa 3.03-3.18
C  0.0934  0.7500  0.5599 x4  4 Pa 2.21-2.37

=====

2.
This record from the Alexandria database describes a geometry-optimized Pa6Ga3C structure. The functional is PBE.

Values from the calculation:
- Crystal system: trigonal
- Total magnetization: 0.002 Bohr magnetons per cell
- VASP energy: -7.739 eV/atom
- Calculated formation energy: -4.9 kcal/mol of atoms

Lattice parameters (Å, degrees): 10.2860 10.2860 14.0350 90.00 90.00 120.00
Closest atoms and distances in Å follow each position.
Space group R-3m (No. 166, hexagonal axes)
Asymmetric unit:
Pa  0.1076  0.5538  0.0708 x18  1 C 2.42
Pa  0.1098  0.2197  0.1094 x18  1 C 2.49
Ga  0.0625  0.5313  0.4091 x18  1 Ga 2.78, 7 Pa 3.04-3.10
C  0.0000  0.0000  0.0000 x3  6 Pa 2.49
C  0.0000  0.0000  0.5000 x3  6 Pa 2.42

=====

3.
This record from the Alexandria database describes a geometry-optimized Ga3PbC structure. The functional is PBE.

Values from the calculation:
- Crystal system: cubic
- Total magnetization: 0.000 Bohr magnetons per cell
- VASP energy: -3.722 eV/atom
- Calculated formation energy: 15.7 kcal/mol of atoms

Lattice parameters (Å, degrees): 4.5041 4.5041 4.5041 90.00 90.00 90.00
Closest atoms and distances in Å follow each position.
Space group Pm-3m (No. 221)
Asymmetric unit:
Ga  0.0000  0.0000  0.5000 x3  2 C 2.25
Pb  0.5000  0.5000  0.5000 x1  12 Ga 3.18
C  0.0000  0.0000  0.0000 x1  6 Ga 2.25

=====

4.
This record from the Alexandria database describes a geometry-optimized GaPb2C structure. The functional is PBE.

Values from the calculation:
- Crystal system: tetragonal
- Total magnetization: 0.000 Bohr magnetons per cell
- VASP energy: -3.982 eV/atom
- Calculated formation energy: 21.5 kcal/mol of atoms

Lattice parameters (Å, degrees): 6.0953 6.0953 11.1589 90.00 90.00 90.00
Closest atoms and distances in Å follow each position.
Space group I-42d (No. 122)
Asymmetric unit:
Ga  0.0000  0.0000  0.0000 x4  4 Pb 2.81
Pb  0.1885  0.2500  0.6250 x8  2 C 2.36
C  0.0000  0.0000  0.5000 x4  4 Pb 2.36